Run 1
Material: BiMoPCl2
Method: DFT, GGA-PBE
State: relaxed

Cell: 4.826 4.826 4.953 Å, 90.00 90.00 90.00°
Space group P4/mmm (No. 123)
Asymmetric unit:
Bi: 0.000 0.000 0.000 (multiplicity 1)
Mo: 0.500 0.500 0.500 (multiplicity 1)
P: 0.500 0.500 0.000 (multiplicity 1)
Cl: 0.000 0.500 0.500 (multiplicity 2)

---

Run 2
Material: BiMoPCl2
Method: DFT, GGA-PBE
State: relaxed

Cell: 5.283 5.283 5.523 Å, 90.00 90.00 90.00°
Space group P4/mmm (No. 123)
Asymmetric unit:
Bi: 0.000 0.000 0.000 (multiplicity 1)
Mo: 0.500 0.500 0.500 (multiplicity 1)
P: 0.000 0.000 0.500 (multiplicity 1)
Cl: 0.000 0.500 0.000 (multiplicity 2)

---

Stability, lowest: run 2

---

Run 1
Material: BiNCl2
Method: DFT, GGA-PBE
State: relaxed

Cell: 6.284 6.284 9.071 Å, 90.00 90.00 90.00°
Space group I4_1/amd (No. 141, origin choice 2)
Asymmetric unit:
Bi: 0.000 0.250 0.375 (multiplicity 4)
N: 0.000 0.250 0.875 (multiplicity 4)
Cl: 0.000 0.000 0.000 (multiplicity 8)

---

Run 2
Material: BiNCl2
Method: DFT, GGA-PBE
State: relaxed

Cell: 3.5843 3.5843 26.1835 Å, 90.00 90.00 120.00°
Space group R-3m (No. 166, hexagonal axes)
Asymmetric unit:
Bi: 0.0000 0.0000 0.0000 (multiplicity 3)
N: 0.0000 0.0000 0.5000 (multiplicity 3)
Cl: 0.0000 0.0000 0.4199 (multiplicity 6)

---

Stability, lowest: run 1

---

Run 1
Material: BiNCl2
Method: DFT, GGA-PBE
State: relaxed

Cell: 6.862 6.862 6.862 Å, 90.00 90.00 90.00°
Space group Fm-3m (No. 225)
Asymmetric unit:
Bi: 0.000 0.000 0.000 (multiplicity 4)
N: 0.000 0.000 0.500 (multiplicity 4)
Cl: 0.250 0.250 0.250 (multiplicity 8)

---

Run 2
Material: BiNCl2
Method: DFT, GGA-PBE
State: relaxed

Cell: 15.187 4.065 8.707 Å, 90.00 97.21 90.00°
Space group C2/m (No. 12)
Asymmetric unit:
Bi: 0.125 0.000 0.309 (multiplicity 4)
N: 0.122 0.000 0.053 (multiplicity 4)
Cl: 0.002 0.500 0.266 (multiplicity 4)
Cl: 0.249 0.500 0.304 (multiplicity 4)

---

Stability, lowest: run 1

---

Run 1
Material: BiSNCl2
Method: DFT, GGA-PBE
State: relaxed

Cell: 5.466 5.466 5.308 Å, 90.00 90.00 90.00°
Space group P4/mmm (No. 123)
Asymmetric unit:
Bi: 0.000 0.000 0.000 (multiplicity 1)
S: 0.000 0.000 0.500 (multiplicity 1)
N: 0.500 0.500 0.500 (multiplicity 1)
Cl: 0.000 0.500 0.000 (multiplicity 2)

---

Run 2
Material: BiSNCl2
Method: DFT, GGA-PBE
State: relaxed

Cell: 5.467 5.467 4.804 Å, 90.00 90.00 90.00°
Space group P4/mmm (No. 123)
Asymmetric unit:
Bi: 0.000 0.000 0.000 (multiplicity 1)
S: 0.500 0.500 0.500 (multiplicity 1)
N: 0.000 0.000 0.500 (multiplicity 1)
Cl: 0.000 0.500 0.000 (multiplicity 2)

---

Stability, lowest: run 2